No. 1
# SmZn12Ir6 PBE-GGA relaxed
# symmetry = No. 166
# E_form = -0.048 eV/atom
# calculated density = 10.93 g/cm3
data_SmZn12Ir6
_cell_length_a 7.091
_cell_length_b 7.091
_cell_length_c 7.091
_cell_angle_alpha 104.13
_cell_angle_beta 104.13
_cell_angle_gamma 104.13
_space_group_name_H-M_alt 'P 1'
_space_group_IT_number 1
loop_
_space_group_symop_operation_xyz
'x,y,z'
loop_
_atom_site_label
_atom_site_fract_x
_atom_site_fract_y
_atom_site_fract_z
Sm1 0.000 0.000 0.000
Zn1 0.110 0.500 0.890
Zn2 0.110 0.890 0.500
Zn3 0.128 0.395 0.395
Zn4 0.395 0.128 0.395
Zn5 0.395 0.395 0.128
Zn6 0.500 0.110 0.890
Zn7 0.500 0.890 0.110
Zn8 0.605 0.605 0.872
Zn9 0.605 0.872 0.605
Zn10 0.872 0.605 0.605
Zn11 0.890 0.110 0.500
Zn12 0.890 0.500 0.110
Ir1 0.278 0.278 0.698
Ir2 0.278 0.698 0.278
Ir3 0.302 0.722 0.722
Ir4 0.698 0.278 0.278
Ir5 0.722 0.302 0.722
Ir6 0.722 0.722 0.302


No. 2
# Th3Si2Ru PBE-GGA relaxed
# symmetry = No. 62
# raw formation energy = -0.67 eV per atom
# calculated density = 9.71 g/cm3
data_Th3Si2Ru
_cell_length_a 11.784
_cell_length_b 4.258
_cell_length_c 11.630
_cell_angle_alpha 90.00
_cell_angle_beta 90.00
_cell_angle_gamma 90.00
_space_group_name_H-M_alt 'P 1'
_space_group_IT_number 1
loop_
_space_group_symop_operation_xyz
'x,y,z'
loop_
_atom_site_label
_atom_site_fract_x
_atom_site_fract_y
_atom_site_fract_z
Th1 0.053 0.250 0.128
Th2 0.122 0.750 0.560
Th3 0.214 0.250 0.802
Th4 0.286 0.750 0.302
Th5 0.378 0.250 0.060
Th6 0.447 0.750 0.628
Th7 0.553 0.250 0.372
Th8 0.622 0.750 0.940
Th9 0.714 0.250 0.698
Th10 0.786 0.750 0.198
Th11 0.878 0.250 0.440
Th12 0.947 0.750 0.872
Si1 0.021 0.750 0.316
Si2 0.190 0.750 0.001
Si3 0.310 0.250 0.501
Si4 0.479 0.250 0.816
Si5 0.521 0.750 0.184
Si6 0.690 0.750 0.499
Si7 0.810 0.250 0.999
Si8 0.979 0.250 0.684
Ru1 0.133 0.250 0.369
Ru2 0.367 0.750 0.869
Ru3 0.633 0.250 0.131
Ru4 0.867 0.750 0.631


No. 3
# Nd5YIn6 PBE-GGA relaxed
# symmetry = No. 2
# E_form = -0.496 eV/atom
# calculated density = 7.24 g/cm3
data_Nd5YIn6
_cell_length_a 5.449
_cell_length_b 7.713
_cell_length_c 9.428
_cell_angle_alpha 65.86
_cell_angle_beta 73.54
_cell_angle_gamma 89.92
_space_group_name_H-M_alt 'P 1'
_space_group_IT_number 1
loop_
_space_group_symop_operation_xyz
'x,y,z'
loop_
_atom_site_label
_atom_site_fract_x
_atom_site_fract_y
_atom_site_fract_z
Nd1 0.000 0.000 0.000
Nd2 0.329 0.330 0.341
Nd3 0.335 0.835 0.330
Nd4 0.665 0.165 0.670
Nd5 0.671 0.670 0.659
Y1 0.000 0.500 0.000
In1 0.164 0.419 0.672
In2 0.164 0.909 0.672
In3 0.500 0.260 0.000
In4 0.500 0.740 0.000
In5 0.836 0.091 0.328
In6 0.836 0.581 0.328


No. 4
# Tb4Nd2DyTm2 PBE-GGA relaxed
# symmetry = No. 2
# E_form = 0.081 eV/atom
# calculated density = 8.11 g/cm3
data_Tb4Nd2DyTm2
_cell_length_a 6.004
_cell_length_b 6.622
_cell_length_c 8.597
_cell_angle_alpha 79.93
_cell_angle_beta 70.41
_cell_angle_gamma 65.01
_space_group_name_H-M_alt 'P 1'
_space_group_IT_number 1
loop_
_space_group_symop_operation_xyz
'x,y,z'
loop_
_atom_site_label
_atom_site_fract_x
_atom_site_fract_y
_atom_site_fract_z
Tb1 0.118 0.128 0.261
Tb2 0.239 0.577 0.384
Tb3 0.761 0.423 0.616
Tb4 0.882 0.872 0.739
Nd1 0.232 0.324 0.843
Nd2 0.768 0.676 0.157
Dy1 0.500 0.000 0.500
Tm1 0.321 0.770 0.945
Tm2 0.679 0.230 0.055


No. 5
# Nd2ErTe4 PBE-GGA relaxed
# symmetry = No. 63
# distance to the lowest polymorph of the same formula = 0.074 eV/atom
# raw formation energy = -1.35 eV per atom
# calculated density = 6.66 g/cm3
data_Nd2ErTe4
_cell_length_a 7.685
_cell_length_b 7.685
_cell_length_c 15.264
_cell_angle_alpha 90.00
_cell_angle_beta 90.00
_cell_angle_gamma 147.72
_space_group_name_H-M_alt 'P 1'
_space_group_IT_number 1
loop_
_space_group_symop_operation_xyz
'x,y,z'
loop_
_atom_site_label
_atom_site_fract_x
_atom_site_fract_y
_atom_site_fract_z
Nd1 0.132 0.868 0.571
Nd2 0.132 0.868 0.929
Nd3 0.868 0.132 0.071
Nd4 0.868 0.132 0.429
Er1 0.372 0.628 0.750
Er2 0.628 0.372 0.250
Te1 0.022 0.978 0.750
Te2 0.217 0.783 0.126
Te3 0.217 0.783 0.374
Te4 0.500 0.500 0.000
Te5 0.500 0.500 0.500
Te6 0.783 0.217 0.626
Te7 0.783 0.217 0.874
Te8 0.978 0.022 0.250


In order of appearance, final energy = -3.899, -7.735, -4.390, -4.541, -5.160 eV/atom.